{"formula": "K4NaPa3O12", "functional": "PBE-GGA", "state": "relaxed", "spacegroup": "No. 229", "mass_density_g_cm3": 5.108, "formation_energy_uncorrected_kcal_per_mol_atoms": -56.4, "lattice_angstrom": [[-4.4227, 4.4227, 4.4227], [4.4227, -4.4227, 4.4227], [4.4227, 4.4227, -4.4227]], "species": ["K", "K", "K", "K", "Na", "Pa", "Pa", "Pa", "O", "O", "O", "O", "O", "O", "O", "O", "O", "O", "O", "O"], "fractional_positions": [[0.0000, 0.0000, 0.5000], [0.0000, 0.5000, 0.0000], [0.5000, 0.0000, 0.0000], [0.5000, 0.5000, 0.5000], [0.0000, 0.0000, 0.0000], [0.0000, 0.5000, 0.5000], [0.5000, 0.0000, 0.5000], [0.5000, 0.5000, 0.0000], [0.0000, 0.2756, 0.2756], [0.0000, 0.7244, 0.7244], [0.2500, 0.5000, 0.7500], [0.2500, 0.7500, 0.5000], [0.2756, 0.0000, 0.2756], [0.2756, 0.2756, 0.0000], [0.5000, 0.2500, 0.7500], [0.5000, 0.7500, 0.2500], [0.7244, 0.0000, 0.7244], [0.7244, 0.7244, 0.0000], [0.7500, 0.2500, 0.5000], [0.7500, 0.5000, 0.2500]]}

=====

{"formula": "KNa3Pa4O12", "functional": "PBE-GGA", "state": "relaxed", "spacegroup": "No. 204", "mass_density_g_cm3": 6.627, "formation_energy_uncorrected_kcal_per_mol_atoms": -71.7, "lattice_angstrom": [[-4.2485, 4.2485, 4.2485], [4.2485, -4.2485, 4.2485], [4.2485, 4.2485, -4.2485]], "species": ["K", "Na", "Na", "Na", "Pa", "Pa", "Pa", "Pa", "O", "O", "O", "O", "O", "O", "O", "O", "O", "O", "O", "O"], "fractional_positions": [[0.0000, 0.0000, 0.0000], [0.0000, 0.5000, 0.5000], [0.5000, 0.0000, 0.5000], [0.5000, 0.5000, 0.0000], [0.0000, 0.0000, 0.5000], [0.0000, 0.5000, 0.0000], [0.5000, 0.0000, 0.0000], [0.5000, 0.5000, 0.5000], [0.0901, 0.7987, 0.2914], [0.2013, 0.2914, 0.4928], [0.2013, 0.7086, 0.9099], [0.2914, 0.0901, 0.7987], [0.2914, 0.4928, 0.2013], [0.4928, 0.2013, 0.2914], [0.5072, 0.7987, 0.7086], [0.7086, 0.5072, 0.7987], [0.7086, 0.9099, 0.2013], [0.7987, 0.2914, 0.0901], [0.7987, 0.7086, 0.5072], [0.9099, 0.2013, 0.7086]]}

=====

{"formula": "K2NaPb3O8", "functional": "PBE-GGA", "state": "relaxed", "spacegroup": "No. 160", "mass_density_g_cm3": 5.362, "formation_energy_uncorrected_kcal_per_mol_atoms": -23.9, "lattice_angstrom": [[3.4115, 1.9696, 6.5358], [-3.4115, 1.9696, 6.5358], [0.0000, -3.9392, 6.5358]], "species": ["K", "K", "Na", "Pb", "Pb", "Pb", "O", "O", "O", "O", "O", "O", "O", "O"], "fractional_positions": [[0.0000, 0.0000, 0.0000], [0.3675, 0.3675, 0.3675], [0.5861, 0.5861, 0.5861], [0.0000, 0.0000, 0.5030], [0.0000, 0.5030, 0.0000], [0.5030, 0.0000, 0.0000], [0.1946, 0.7435, 0.7435], [0.2288, 0.2288, 0.2288], [0.2574, 0.2574, 0.8102], [0.2574, 0.8102, 0.2574], [0.7435, 0.1946, 0.7435], [0.7435, 0.7435, 0.1946], [0.7731, 0.7731, 0.7731], [0.8102, 0.2574, 0.2574]]}

=====

| no. | calculated total energy (eV/cell) |
| --- | --- |
| 1 | -142.61 |
| 2 | -164.74 |
| 3 | -68.79 |